Here is CaIn2P after structural relaxation from Alexandria. Energies are from GGA-PBE. Values from VASP.

As for the total DFT energy (no corrections): -3.40 eV/atom. The energy of formation from the pure elements is -174.9 meV per atom. The symmetry is R-3m (166).

The structure in Quantum ESPRESSO input format:
```
&SYSTEM
  ibrav = 0, nat = 4, ntyp = 3
/
ATOMIC_SPECIES
Ca 40.08 Ca.upf
In 114.82 In.upf
P 30.97 P.upf
ATOMIC_POSITIONS crystal
Ca 0.000 0.000 0.000
In 0.231 0.231 0.231
In 0.769 0.769 0.769
P 0.500 0.500 0.500
CELL_PARAMETERS angstrom
1.968 1.136 8.089
-1.968 1.136 8.089
0.000 -2.272 8.089
```

***

Here is ZnCuBi2Pd after structural relaxation from Alexandria. Energies are from GGA-PBE. Values from VASP.

As for the total DFT energy (no corrections): -3.07 eV/atom. The energy of formation from the pure elements is 595.9 meV per atom. The symmetry is P4/mmm (123).

The structure in Quantum ESPRESSO input format:
```
&SYSTEM
  ibrav = 0, nat = 5, ntyp = 4
/
ATOMIC_SPECIES
Zn 65.41 Zn.upf
Cu 63.55 Cu.upf
Bi 208.98 Bi.upf
Pd 106.42 Pd.upf
ATOMIC_POSITIONS crystal
Zn 0.000 0.000 0.000
Cu 0.000 0.000 0.500
Bi 0.000 0.500 0.000
Bi 0.500 0.000 0.000
Pd 0.500 0.500 0.500
CELL_PARAMETERS angstrom
5.283 0.000 0.000
0.000 5.283 0.000
0.000 0.000 4.466
```

***

Here is CaMgBeO3 after structural relaxation from Alexandria. Energies are from GGA-PBE. Values from VASP.

As for the total DFT energy (no corrections): -6.39 eV/atom. As for the formation energy from raw total energies: -2692 meV/atom. The symmetry is Cmcm (63).

The structure in Quantum ESPRESSO input format:
```
&SYSTEM
  ibrav = 0, nat = 12, ntyp = 4
/
ATOMIC_SPECIES
Ca 40.08 Ca.upf
Mg 24.30 Mg.upf
Be 9.01 Be.upf
O 16.00 O.upf
ATOMIC_POSITIONS crystal
Ca 0.248 0.752 0.750
Ca 0.752 0.248 0.250
Mg 0.500 0.500 0.000
Mg 0.500 0.500 0.500
Be 0.030 0.970 0.250
Be 0.970 0.030 0.750
O 0.119 0.881 0.090
O 0.119 0.881 0.410
O 0.436 0.564 0.250
O 0.564 0.436 0.750
O 0.881 0.119 0.590
O 0.881 0.119 0.910
CELL_PARAMETERS angstrom
1.520 -5.146 0.000
1.520 5.146 0.000
0.000 0.000 8.171
```

***

Here is Pr6Sn2Pd after structural relaxation from Alexandria. Energies are from GGA-PBE. Values from VASP.

As for the total DFT energy (no corrections): -5.13 eV/atom. The energy of formation from the pure elements is -473.7 meV per atom. The symmetry is P2_1/c (14).

The structure in Quantum ESPRESSO input format:
```
&SYSTEM
  ibrav = 0, nat = 18, ntyp = 3
/
ATOMIC_SPECIES
Pr 140.91 Pr.upf
Sn 118.71 Sn.upf
Pd 106.42 Pd.upf
ATOMIC_POSITIONS crystal
Pr 0.074 0.173 0.448
Pr 0.074 0.327 0.948
Pr 0.336 0.679 0.449
Pr 0.336 0.821 0.949
Pr 0.377 0.028 0.263
Pr 0.377 0.472 0.763
Pr 0.623 0.528 0.237
Pr 0.623 0.972 0.737
Pr 0.664 0.179 0.051
Pr 0.664 0.321 0.551
Pr 0.926 0.673 0.052
Pr 0.926 0.827 0.552
Sn 0.159 0.120 0.749
Sn 0.159 0.380 0.249
Sn 0.841 0.620 0.751
Sn 0.841 0.880 0.251
Pd 0.000 0.000 0.000
Pd 0.000 0.500 0.500
CELL_PARAMETERS angstrom
6.405 0.000 0.000
0.000 8.703 0.000
-6.389 0.000 10.458
```

***

Here is AcPm8Y6 after structural relaxation from Alexandria. Energies are from GGA-PBE. Values from VASP.

As for the total DFT energy (no corrections): -5.27 eV/atom. The energy of formation from the pure elements is 126.7 meV per atom. The symmetry is R-3 (148).

The structure in Quantum ESPRESSO input format:
```
&SYSTEM
  ibrav = 0, nat = 15, ntyp = 3
/
ATOMIC_SPECIES
Ac 227.00 Ac.upf
Pm 145.00 Pm.upf
Y 88.91 Y.upf
ATOMIC_POSITIONS crystal
Ac 0.000 0.000 0.000
Pm 0.114 0.715 0.750
Pm 0.250 0.886 0.285
Pm 0.285 0.250 0.886
Pm 0.423 0.423 0.423
Pm 0.577 0.577 0.577
Pm 0.715 0.750 0.114
Pm 0.750 0.114 0.715
Pm 0.886 0.285 0.250
Y 0.095 0.532 0.252
Y 0.252 0.095 0.532
Y 0.468 0.748 0.905
Y 0.532 0.252 0.095
Y 0.748 0.905 0.468
Y 0.905 0.468 0.748
CELL_PARAMETERS angstrom
4.592 2.651 7.080
-4.592 2.651 7.080
0.000 -5.302 7.080
```

***

Here is Sm5PuSn5 after structural relaxation from Alexandria. Energies are from GGA-PBE. Values from VASP.

As for the total DFT energy (no corrections): -5.64 eV/atom. The energy of formation from the pure elements is -370.8 meV per atom. The symmetry is C2/m (12).

The structure in Quantum ESPRESSO input format:
```
&SYSTEM
  ibrav = 0, nat = 11, ntyp = 3
/
ATOMIC_SPECIES
Sm 150.36 Sm.upf
Pu 244.00 Pu.upf
Sn 118.71 Sn.upf
ATOMIC_POSITIONS crystal
Sm 0.000 0.000 0.000
Sm 0.330 0.330 0.166
Sm 0.333 0.333 0.669
Sm 0.667 0.667 0.331
Sm 0.670 0.670 0.834
Pu 0.000 0.000 0.500
Sn 0.162 0.162 0.334
Sn 0.163 0.163 0.831
Sn 0.500 0.500 0.500
Sn 0.837 0.837 0.169
Sn 0.838 0.838 0.666
CELL_PARAMETERS angstrom
7.101 -3.134 0.000
7.101 3.134 0.000
-2.716 0.000 8.309
```